# 1
Computed, not measured: a geometry-optimized RbZrCuS2 structure at the PBE-GGA level of DFT.

Values from the calculation:
Its volume is 139.59 Å³ per cell. The uncorrected formation energy is 1.24 eV/atom. For the total magnetization, the calculation gives 0.2237 μB per atom.

Structure (CIF):
```
data_RbZrCuS2
_chemical_formula_sum 'Rb1 Zr1 Cu1 S2'
_symmetry_space_group_name_H-M 'P 1'
_symmetry_Int_Tables_number 1
_symmetry_space_group_name_Hall 'P 1'
_cell_length_a 5.4918
_cell_length_b 4.6283
_cell_length_c 5.4918
_cell_angle_alpha 90.00
_cell_angle_beta 90.00
_cell_angle_gamma 90.00
loop_
_atom_site_label
_atom_site_type_symbol
_atom_site_fract_x
_atom_site_fract_y
_atom_site_fract_z
Cu1 Cu 0.0000 0.5000 0.0000
S1 S 0.5000 0.0000 0.0000
S2 S 0.0000 0.0000 0.5000
Zr1 Zr 0.5000 0.5000 0.5000
Rb1 Rb 0.0000 0.0000 0.0000
```



# 2
Computed, not measured: a geometry-optimized MnCrCu2 structure at the PBE-GGA level of DFT.

Values from the calculation:
Its volume is 45.94 Å³ per cell. Its energy relative to the elements is 0.29 eV/atom. For the total magnetization, the calculation gives 0.0000 μB per atom.

Structure (CIF):
```
data_MnCrCu2
_chemical_formula_sum 'Mn1 Cr1 Cu2'
_symmetry_space_group_name_H-M 'P 1'
_symmetry_Int_Tables_number 1
_symmetry_space_group_name_Hall 'P 1'
_cell_length_a 4.7031
_cell_length_b 4.7031
_cell_length_c 2.3794
_cell_angle_alpha 90.22
_cell_angle_beta 90.22
_cell_angle_gamma 119.20
loop_
_atom_site_label
_atom_site_type_symbol
_atom_site_fract_x
_atom_site_fract_y
_atom_site_fract_z
Mn1 Mn 0.5000 0.0000 0.5000
Cu1 Cu 0.5000 0.5000 0.0000
Cu2 Cu 0.0000 0.0000 0.0000
Cr1 Cr 0.0000 0.5000 0.5000
```



# 3
Computed, not measured: a geometry-optimized BaP2Rh structure at the PBE-GGA level of DFT.

Values from the calculation:
Its volume is 83.13 Å³ per cell. Its energy relative to the elements is 0.37 eV/atom. For the total magnetization, the calculation gives 0.0000 μB per atom.

Structure (CIF):
```
data_BaP2Rh
_chemical_formula_sum 'Ba1 P2 Rh1'
_symmetry_space_group_name_H-M 'P 1'
_symmetry_Int_Tables_number 1
_symmetry_space_group_name_Hall 'P 1'
_cell_length_a 4.8989
_cell_length_b 4.8989
_cell_length_c 4.8989
_cell_angle_alpha 60.00
_cell_angle_beta 60.00
_cell_angle_gamma 60.00
loop_
_atom_site_label
_atom_site_type_symbol
_atom_site_fract_x
_atom_site_fract_y
_atom_site_fract_z
Rh1 Rh 0.7500 0.7500 0.7500
P1 P 0.0000 0.0000 0.0000
P2 P 0.2500 0.2500 0.2500
Ba1 Ba 0.5000 0.5000 0.5000
```



| no. | total energy (eV/cell) |
| --- | --- |
| 1 | -15.65 |
| 2 | -25.82 |
| 3 | -18.63 |